Record 1
Entry from Alexandria: LiTiSeBr2 after structural relaxation (GGA-PBE).

Structure (POSCAR):
```
LiTiSeBr2
1.0
5.280 0.000 0.000
0.000 4.941 0.000
0.000 0.000 5.280
Se Br Li Ti
1 2 1 1
Direct
0.000 0.500 0.000 Se
0.000 0.000 0.500 Br
0.500 0.000 0.000 Br
0.500 0.500 0.500 Li
0.000 0.000 0.000 Ti
```

## Properties
The total energy comes out at -4.22 eV per atom. As for the theoretical density: 3.54 g cm⁻³.

Record 2
Entry from Alexandria: LiTlSe2Br after structural relaxation (GGA-PBE).

Structure (POSCAR):
```
LiTlSe2Br
1.0
-0.712 1.002 4.420
-4.488 0.464 -0.828
-0.937 -6.647 1.356
Se Br Tl Li
2 1 1 1
Direct
0.000 0.500 0.000 Se
0.500 0.000 0.000 Se
0.000 0.000 0.500 Br
0.500 0.500 0.500 Tl
0.000 0.000 0.000 Li
```

## Properties
The total energy comes out at -2.81 eV per atom. As for the theoretical density: 5.17 g cm⁻³.

Record 3
Entry from Alexandria: LiTlSeBr2 after structural relaxation (GGA-PBE).

Structure (POSCAR):
```
LiTlSeBr2
1.0
-0.823 5.129 1.432
-3.371 -1.624 3.877
3.791 -0.279 3.180
Br Se Tl Li
2 1 1 1
Direct
0.000 0.500 0.000 Br
0.500 0.000 0.000 Br
0.000 0.000 0.500 Se
0.500 0.500 0.500 Tl
0.000 0.000 0.000 Li
```

## Properties
The total energy comes out at -2.69 eV per atom. As for the theoretical density: 5.20 g cm⁻³.

Record 4
Entry from Alexandria: LiTlSe2Br after structural relaxation (GGA-PBE).

Structure (POSCAR):
```
LiTlSe2Br
1.0
-0.303 3.359 4.195
0.433 -4.173 3.372
5.917 0.582 -0.039
Li Br Se Tl
1 1 2 1
Direct
0.500 0.500 0.500 Li
0.000 0.000 0.500 Br
0.000 0.500 0.000 Se
0.500 0.000 0.000 Se
0.000 0.000 0.000 Tl
```

## Properties
The total energy comes out at -2.63 eV per atom. As for the theoretical density: 4.33 g cm⁻³.

Record 5
Entry from Alexandria: LiWSeBr2 after structural relaxation (GGA-PBE).

Structure (POSCAR):
```
LiWSeBr2
1.0
-0.218 2.191 -4.114
-4.322 1.445 0.999
1.890 4.183 2.127
Br Li Se W
2 1 1 1
Direct
0.000 0.500 0.000 Br
0.500 0.000 0.000 Br
0.000 0.000 0.000 Li
0.000 0.000 0.500 Se
0.500 0.500 0.500 W
```

## Properties
The total energy comes out at -3.60 eV per atom. As for the theoretical density: 6.48 g cm⁻³.

Record 6
Entry from Alexandria: LiWSeBr2 after structural relaxation (GGA-PBE).

Structure (POSCAR):
```
LiWSeBr2
1.0
-1.729 2.540 -4.383
-5.066 -0.846 1.508
0.020 4.196 2.423
Br W Li Se
2 1 1 1
Direct
0.000 0.500 0.000 Br
0.500 0.000 0.000 Br
0.000 0.000 0.000 W
0.500 0.500 0.500 Li
0.000 0.000 0.500 Se
```

## Properties
The total energy comes out at -4.41 eV per atom. As for the theoretical density: 5.14 g cm⁻³.

Record 7
Entry from Alexandria: LiYSe2Br after structural relaxation (GGA-PBE).

Structure (POSCAR):
```
LiYSe2Br
1.0
-4.181 1.944 1.298
0.640 -1.605 4.467
2.288 4.146 1.162
Y Br Se Li
1 1 2 1
Direct
0.500 0.500 0.500 Y
0.000 0.000 0.500 Br
0.000 0.500 0.000 Se
0.500 0.000 0.000 Se
0.000 0.000 0.000 Li
```

## Properties
The total energy comes out at -4.25 eV per atom. As for the theoretical density: 4.95 g cm⁻³.

Record 8
Entry from Alexandria: LiYSe2Br after structural relaxation (GGA-PBE).

Structure (POSCAR):
```
LiYSe2Br
1.0
-0.239 -4.099 -3.628
2.411 -3.339 3.614
-5.097 -1.492 2.021
Se Li Y Br
2 1 1 1
Direct
0.000 0.500 0.000 Se
0.500 0.000 0.000 Se
0.500 0.500 0.500 Li
0.000 0.000 0.000 Y
0.000 0.000 0.500 Br
```

## Properties
The total energy comes out at -4.44 eV per atom. As for the theoretical density: 3.25 g cm⁻³.

Record 9
Entry from Alexandria: LiZnSe2Br after structural relaxation (GGA-PBE).

Structure (POSCAR):
```
LiZnSe2Br
1.0
4.822 0.000 0.000
0.000 4.822 0.000
0.000 0.000 5.873
Zn Li Br Se
1 1 1 2
Direct
0.000 0.000 0.000 Zn
0.500 0.500 0.500 Li
0.000 0.000 0.500 Br
0.500 0.000 0.000 Se
0.000 0.500 0.000 Se
```

## Properties
The total energy comes out at -2.58 eV per atom. As for the theoretical density: 3.77 g cm⁻³.

Record 10
Entry from Alexandria: LiZnSe2Br after structural relaxation (GGA-PBE).

Structure (POSCAR):
```
LiZnSe2Br
1.0
4.362 0.000 0.000
0.000 4.362 0.000
0.000 0.000 7.014
Se Li Zn Br
2 1 1 1
Direct
0.000 0.500 0.000 Se
0.500 0.000 0.000 Se
0.000 0.000 0.000 Li
0.500 0.500 0.500 Zn
0.000 0.000 0.500 Br
```

## Properties
The total energy comes out at -2.25 eV per atom. As for the theoretical density: 3.86 g cm⁻³.

Record 11
Entry from Alexandria: LiZrSeBr2 after structural relaxation (GGA-PBE).

Structure (POSCAR):
```
LiZrSeBr2
1.0
4.638 0.000 0.000
0.000 4.638 0.000
0.000 0.000 5.189
Br Li Zr Se
2 1 1 1
Direct
0.500 0.000 0.000 Br
0.000 0.500 0.000 Br
0.000 0.000 0.000 Li
0.500 0.500 0.500 Zr
0.000 0.000 0.500 Se
```

## Properties
The total energy comes out at -3.85 eV per atom. As for the theoretical density: 5.01 g cm⁻³.

Record 12
Entry from Alexandria: LiZrSe2Br after structural relaxation (GGA-PBE).

Structure (POSCAR):
```
LiZrSe2Br
1.0
-1.357 1.359 4.680
10.274 -5.328 4.526
2.502 4.364 -0.542
Se Zr Li Br
2 1 1 1
Direct
0.500 0.000 0.000 Se
0.000 0.000 0.500 Se
0.000 0.000 0.000 Zr
0.000 0.500 0.000 Li
0.500 0.500 0.500 Br
```

## Properties
The total energy comes out at -4.29 eV per atom. As for the theoretical density: 1.75 g cm⁻³.

Record 13
Entry from Alexandria: LiZrSe2Br after structural relaxation (GGA-PBE).

Structure (POSCAR):
```
LiZrSe2Br
1.0
4.794 0.000 0.000
0.000 4.794 0.000
0.000 0.000 4.558
Se Li Zr Br
2 1 1 1
Direct
0.000 0.500 0.000 Se
0.500 0.000 0.000 Se
0.000 0.000 0.000 Li
0.500 0.500 0.500 Zr
0.000 0.000 0.500 Br
```

## Properties
The total energy comes out at -4.06 eV per atom. As for the theoretical density: 5.33 g cm⁻³.

Record 14
Entry from Alexandria: LiZrSe2Br after structural relaxation (GGA-PBE).

Structure (POSCAR):
```
LiZrSe2Br
1.0
5.239 0.000 0.000
0.000 5.239 0.000
0.000 0.000 5.426
Zr Li Se Br
1 1 2 1
Direct
0.000 0.000 0.000 Zr
0.500 0.500 0.500 Li
0.000 0.500 0.000 Se
0.500 0.000 0.000 Se
0.000 0.000 0.500 Br
```

## Properties
The total energy comes out at -4.77 eV per atom. As for the theoretical density: 3.75 g cm⁻³.

Record 15
Entry from Alexandria: LiZrSeBr2 after structural relaxation (GGA-PBE).

Structure (POSCAR):
```
LiZrSeBr2
1.0
-3.791 1.425 3.553
3.496 -0.749 4.030
1.519 5.004 -0.387
Li Se Br Zr
1 1 2 1
Direct
0.500 0.500 0.500 Li
0.000 0.000 0.500 Se
0.500 0.000 0.000 Br
0.000 0.500 0.000 Br
0.000 0.000 0.000 Zr
```

## Properties
The total energy comes out at -4.40 eV per atom. As for the theoretical density: 3.68 g cm⁻³.

Record 16
Entry from Alexandria: LiSiBr2 after structural relaxation (GGA-PBE).

Structure (POSCAR):
```
LiSiBr2
1.0
6.030 0.053 0.034
4.883 3.538 0.034
0.042 0.014 4.849
Br Li Si
2 1 1
Direct
0.007 0.007 0.159 Br
0.731 0.731 0.678 Br
0.529 0.529 0.508 Li
0.233 0.233 0.155 Si
```

## Properties
The total energy comes out at -3.03 eV per atom. As for the theoretical density: 3.17 g cm⁻³.

Record 17
Entry from Alexandria: Li2SiBr after structural relaxation (GGA-PBE).

Structure (POSCAR):
```
Li2SiBr
1.0
7.088 0.000 0.000
0.000 7.088 0.000
3.544 3.544 3.179
Si Br Li
2 2 4
Direct
0.250 0.750 0.500 Si
0.500 0.500 0.000 Si
0.000 0.000 0.000 Br
0.750 0.250 0.500 Br
0.646 0.125 0.250 Li
0.375 0.354 0.750 Li
0.875 0.896 0.750 Li
0.104 0.625 0.250 Li
```

## Properties
The total energy comes out at -2.96 eV per atom. As for the theoretical density: 2.53 g cm⁻³.

Record 18
Entry from Alexandria: LiSi2Br after structural relaxation (GGA-PBE).

Structure (POSCAR):
```
LiSi2Br
1.0
0.000 3.386 3.386
3.386 0.000 3.386
3.386 3.386 0.000
Li Si Br
1 2 1
Direct
0.000 0.000 0.000 Li
0.250 0.250 0.250 Si
0.750 0.750 0.750 Si
0.500 0.500 0.500 Br
```

## Properties
The total energy comes out at -2.87 eV per atom. As for the theoretical density: 3.06 g cm⁻³.

Record 19
Entry from Alexandria: LiSi2Br after structural relaxation (GGA-PBE).

Structure (POSCAR):
```
LiSi2Br
1.0
5.478 0.007 0.002
1.338 5.312 -0.002
-2.673 -3.601 3.146
Li Si Br
1 2 1
Direct
0.231 0.731 0.500 Li
0.836 0.336 0.500 Si
0.996 0.996 0.000 Si
0.437 0.437 0.000 Br
```

## Properties
The total energy comes out at -3.48 eV per atom. As for the theoretical density: 2.60 g cm⁻³.

Record 20
Entry from Alexandria: Li2SiBr after structural relaxation (GGA-PBE).

Structure (POSCAR):
```
Li2SiBr
1.0
-2.079 -0.299 -2.763
2.502 -1.702 -1.699
-2.641 -6.575 2.698
Li Si Br
2 1 1
Direct
0.000 0.000 0.972 Li
0.500 0.500 0.242 Li
0.000 0.000 0.386 Si
0.500 0.500 0.900 Br
```

## Properties
The total energy comes out at -3.03 eV per atom. As for the theoretical density: 2.22 g cm⁻³.

Record 21
Entry from Alexandria: Li2SiBr after structural relaxation (GGA-PBE).

Structure (POSCAR):
```
Li2SiBr
1.0
-0.834 3.040 1.961
-5.862 -1.835 0.351
0.742 -1.781 3.078
Li Br Si
2 1 1
Direct
0.500 0.500 0.000 Li
0.000 0.000 0.000 Li
0.000 0.500 0.500 Br
0.500 0.000 0.500 Si
```

## Properties
The total energy comes out at -2.97 eV per atom. As for the theoretical density: 2.44 g cm⁻³.

Record 22
Entry from Alexandria: LiSi2Br after structural relaxation (GGA-PBE).

Structure (POSCAR):
```
LiSi2Br
1.0
-4.094 -1.324 -1.660
2.836 -1.411 -3.352
0.987 -1.785 4.136
Si Li Br
2 1 1
Direct
0.000 0.000 0.000 Si
0.250 0.750 0.500 Si
0.750 0.250 0.500 Li
0.500 0.500 0.000 Br
```

## Properties
The total energy comes out at -3.30 eV per atom. As for the theoretical density: 3.19 g cm⁻³.

Record 23
Entry from Alexandria: Li2SiBr after structural relaxation (GGA-PBE).

Structure (POSCAR):
```
Li2SiBr
1.0
-4.647 -1.970 -0.878
0.676 -4.567 -2.220
2.029 1.947 4.282
Li Si Br
2 1 1
Direct
0.000 0.000 0.000 Li
0.500 0.500 0.000 Li
0.250 0.750 0.500 Si
0.750 0.250 0.500 Br
```

## Properties
The total energy comes out at -2.85 eV per atom. As for the theoretical density: 2.66 g cm⁻³.

Record 24
Entry from Alexandria: LiSi2Br after structural relaxation (GGA-PBE).

Structure (POSCAR):
```
LiSi2Br
1.0
7.688 -0.802 0.000
-5.753 5.162 0.000
0.000 0.000 2.816
Si Li Br
2 1 1
Direct
0.500 0.500 0.000 Si
0.000 0.000 0.000 Si
0.000 0.500 0.500 Li
0.500 0.000 0.500 Br
```

## Properties
The total energy comes out at -3.37 eV per atom. As for the theoretical density: 2.41 g cm⁻³.

Record 25
Entry from Alexandria: LiSi2Br after structural relaxation (GGA-PBE).

Structure (POSCAR):
```
LiSi2Br
1.0
-5.049 2.608 6.581
-3.065 0.656 8.111
-2.221 3.669 7.564
Br Si Li
1 2 1
Direct
0.250 0.250 0.250 Br
0.004 0.004 0.004 Si
0.496 0.496 0.496 Si
0.750 0.750 0.750 Li
```

## Properties
The total energy comes out at -3.11 eV per atom. As for the theoretical density: 3.20 g cm⁻³.

Record 26
Entry from Alexandria: Li4SiBr after structural relaxation (GGA-PBE).

Structure (POSCAR):
```
Li4SiBr
1.0
4.241 -0.344 3.257
2.444 4.457 1.696
-0.429 1.506 5.125
Li Si Br
4 1 1
Direct
0.865 0.378 0.378 Li
0.378 0.378 0.378 Li
0.378 0.865 0.378 Li
0.378 0.378 0.865 Li
0.750 0.750 0.750 Si
0.000 0.000 0.000 Br
```

## Properties
The total energy comes out at -2.39 eV per atom. As for the theoretical density: 2.07 g cm⁻³.

Record 27
Entry from Alexandria: LiSi2Br after structural relaxation (GGA-PBE).

Structure (POSCAR):
```
LiSi2Br
1.0
4.164 0.000 0.000
0.000 4.164 0.000
0.000 0.000 4.929
Si Li Br
2 1 1
Direct
0.000 0.000 0.980 Si
0.000 0.000 0.520 Si
0.500 0.500 0.750 Li
0.500 0.500 0.250 Br
```

## Properties
The total energy comes out at -3.31 eV per atom. As for the theoretical density: 2.78 g cm⁻³.

Record 28
Entry from Alexandria: LiSiBr2 after structural relaxation (GGA-PBE).

Structure (POSCAR):
```
LiSiBr2
1.0
0.000 3.550 3.550
3.550 0.000 3.550
3.550 3.550 0.000
Li Br Si
1 2 1
Direct
0.000 0.000 0.000 Li
0.250 0.250 0.250 Br
0.750 0.750 0.750 Br
0.500 0.500 0.500 Si
```

## Properties
The total energy comes out at -2.84 eV per atom. As for the theoretical density: 3.61 g cm⁻³.

Record 29
Entry from Alexandria: LiSi2Br after structural relaxation (GGA-PBE).

Structure (POSCAR):
```
LiSi2Br
1.0
3.909 0.002 0.067
1.952 3.386 0.067
-0.205 -0.119 7.443
Li Si Br
1 2 1
Direct
0.127 0.127 0.295 Li
0.789 0.789 0.928 Si
0.121 0.121 0.863 Si
0.462 0.462 0.413 Br
```

## Properties
The total energy comes out at -3.99 eV per atom. As for the theoretical density: 2.41 g cm⁻³.